Material: Fe2IClF
Method: DFT, PBE with a Hubbard U
State: relaxed

It has space group P4/mmm (No. 123), with a = 5.1540 Å, b = 5.1540 Å, c = 4.6876 Å, α = 90.00°, β = 90.00° and γ = 90.00°. The distinct sites, in fractional coordinates, are Fe at (0.0000, 0.5000, 0.0000), I at (0.0000, 0.0000, 0.0000), Cl at (0.5000, 0.5000, 0.5000) and F at (0.0000, 0.0000, 0.5000).

The value obtained for the density of states at the Fermi level is 0.18 states/eV/atom. The value obtained for the total energy is -15.8 eV for the cell shown.